No. 1
Li3H3Ru after structural relaxation, computed with GGA-PBE.

The structure in extended XYZ format:
```
14
Lattice="5.2785 0.0890 0.1461 -2.2720 4.7654 0.1461 -0.2945 -0.4755 5.0842" Properties=species:S:1:pos:R:3 pbc="T T T"
Li 1.8024 2.9101 1.9577
Li -1.1270 3.7273 2.6882
Li 3.8390 0.6516 2.6882
Li -0.1976 3.4806 0.1461
Li 3.2041 1.3738 0.1461
Li 0.9097 1.4688 3.4186
H 2.7048 4.3672 1.3702
H 2.7967 2.2761 3.6145
H 0.7918 3.5178 3.6145
H -0.0846 2.1028 1.7618
H 1.9203 0.8610 1.7618
H 0.0072 0.0117 4.0061
Ru 2.1091 3.4053 4.7085
Ru 0.6029 0.9735 0.6678
```

Summary:
Crystal system: monoclinic
Total DFT energy (no corrections), eV/f.u.: -26.56


No. 2
LiH3Ru after structural relaxation, computed with GGA-PBE.

The structure in extended XYZ format:
```
10
Lattice="2.9003 -0.0007 0.0000 0.0010 4.5308 0.0000 0.0000 0.0000 5.4587" Properties=species:S:1:pos:R:3 pbc="T T T"
Li 2.1755 1.1322 0.6355
Li 0.7258 3.3979 4.8231
H 2.1760 3.3976 0.4677
H 0.7253 1.1325 4.9910
H 2.1752 0.0604 3.7148
H 2.1757 2.2040 3.7148
H 0.7261 4.4697 1.7439
H 0.7256 2.3262 1.7439
Ru 2.1760 3.3976 2.0977
Ru 0.7253 1.1325 3.3609
```

Summary:
Crystal system: orthorhombic
Total DFT energy (no corrections), eV/f.u.: -21.91


No. 3
Li3H4Ru after structural relaxation, computed with GGA-PBE.

The structure in extended XYZ format:
```
8
Lattice="2.9545 0.0000 0.0000 0.0000 4.3516 -1.9702 0.0000 0.3408 4.7647" Properties=species:S:1:pos:R:3 pbc="T T T"
Li 0.0000 0.1704 2.3823
Li 1.4772 2.3462 1.3972
Li 0.0000 2.1758 -0.9851
H 0.0000 0.9614 0.5725
H 1.4772 3.4530 -0.4613
H 0.0000 3.7310 2.2219
H 1.4772 1.2394 3.2558
Ru 1.4772 0.0000 0.0000
```

Summary:
Crystal system: orthorhombic
Total DFT energy (no corrections), eV/f.u.: -31.01
ΔE to the lowest computed polymorph, meV per atom: 0.0


No. 4
LiHRu2 after structural relaxation, computed with GGA-PBE.

The structure in extended XYZ format:
```
4
Lattice="0.0000 2.7474 2.7474 2.7474 0.0000 2.7474 2.7474 2.7474 0.0000" Properties=species:S:1:pos:R:3 pbc="T T T"
Ru 1.3737 1.3737 1.3737
Ru 4.1211 4.1211 4.1211
H 0.0000 0.0000 0.0000
Li 2.7474 2.7474 2.7474
```

Summary:
Crystal system: cubic
Total DFT energy (no corrections), eV/f.u.: -20.63
ΔE to the lowest computed polymorph, meV per atom: 169.5


No. 5
Li2HRu2 after structural relaxation, computed with GGA-PBE.

The structure in extended XYZ format:
```
5
Lattice="-1.4423 0.1813 -4.5813 -2.3243 -4.1687 0.5667 -4.2268 -0.5791 -1.2135" Properties=species:S:1:pos:R:3 pbc="T T T"
Ru -2.8240 -1.4258 -1.6886
Ru -5.1693 -3.1406 -3.5394
H 0.0000 0.0000 0.0000
Li -3.7762 -1.1957 -3.9010
Li -4.2172 -3.3707 -1.3270
```

Summary:
Crystal system: tetragonal
Total DFT energy (no corrections), eV/f.u.: -21.82
ΔE to the lowest computed polymorph, meV per atom: 603.3


No. 6
Li2H8Ru after structural relaxation, computed with GGA-PBE.

The structure in extended XYZ format:
```
11
Lattice="2.7702 0.0000 0.0000 0.0000 5.9698 1.3306 -1.3851 -1.0101 4.7608" Properties=species:S:1:pos:R:3 pbc="T T T"
Li 1.3851 0.7746 2.7885
Li 0.0000 4.1851 3.3029
H 0.0000 3.4180 5.4048
H 1.3851 5.2783 2.8684
H 1.3851 2.5555 3.0581
H 0.0000 1.0745 0.4489
H 0.0000 2.4042 3.0333
H 0.0000 -0.3186 3.2230
H 1.3851 1.5417 0.6866
H 1.3851 3.8852 5.6425
Ru 1.3851 0.0000 0.0000
```

Summary:
Crystal system: monoclinic
Total DFT energy (no corrections), eV/f.u.: -40.04


No. 7
Li4H6Ru after structural relaxation, computed with GGA-PBE.

The structure in extended XYZ format:
```
22
Lattice="5.6917 0.0003 0.0003 -0.0068 5.6917 0.0003 -0.0068 -0.0068 5.6917" Properties=species:S:1:pos:R:3 pbc="T T T"
Li 1.4195 1.4213 1.4231
Li 4.2586 4.2639 4.2693
Li 4.9691 3.5610 1.4234
Li 1.4127 4.9709 3.5628
Li 3.5548 1.4172 4.9754
Li 4.2654 0.7143 2.1295
Li 2.1233 4.2680 0.7170
Li 0.7090 2.1242 4.2689
H 1.1780 3.1192 2.5013
H 2.4959 1.1811 3.1224
H 3.1178 2.4998 1.1850
H 5.3418 0.2718 4.0308
H 4.0238 5.3468 0.2769
H 0.2651 4.0241 5.3472
H 4.5001 2.5660 3.1910
H 3.1822 4.5041 2.5700
H 2.5603 3.1854 4.5073
H 0.3363 5.4134 1.6615
H 1.6543 0.3384 5.4155
H 5.4130 1.6611 0.3452
Ru 2.8391 2.8426 2.8462
Ru 0.0000 0.0000 0.0000
```

Summary:
Crystal system: trigonal
Total DFT energy (no corrections), eV/f.u.: -41.86


No. 8
Li3HRu after structural relaxation, computed with GGA-PBE.

The structure in extended XYZ format:
```
5
Lattice="4.9343 0.0000 0.0000 0.0000 4.9343 0.0000 0.0000 0.0000 4.9343" Properties=species:S:1:pos:R:3 pbc="T T T"
Ru 0.0000 0.0000 0.0000
H 2.4672 2.4672 2.4672
Li 0.0000 2.4672 0.0000
Li 0.0000 0.0000 2.4672
Li 2.4672 0.0000 0.0000
```

Summary:
Crystal system: cubic
Total DFT energy (no corrections), eV/f.u.: -12.74
ΔE to the lowest computed polymorph, meV per atom: 808.2


No. 9
Li3HRu after structural relaxation, computed with GGA-PBE.

The structure in extended XYZ format:
```
5
Lattice="3.7794 0.0000 0.0000 0.0000 3.7794 0.0000 0.0000 0.0000 3.7794" Properties=species:S:1:pos:R:3 pbc="T T T"
Ru 1.8897 1.8897 1.8897
H 0.0000 0.0000 0.0000
Li 0.0000 1.8897 0.0000
Li 0.0000 0.0000 1.8897
Li 1.8897 0.0000 0.0000
```

Summary:
Crystal system: cubic
Total DFT energy (no corrections), eV/f.u.: -16.78
ΔE to the lowest computed polymorph, meV per atom: 0.0


No. 10
LiHRu2 after structural relaxation, computed with GGA-PBE.

The structure in extended XYZ format:
```
8
Lattice="-2.7492 -4.0016 -0.9259 2.3424 -2.4428 3.6020 -3.3702 -1.7535 4.3934" Properties=species:S:1:pos:R:3 pbc="T T T"
Ru -1.5807 -2.2443 1.2014
Ru -0.4095 -3.4657 3.0024
Ru -2.0945 -4.3424 5.1991
Ru -3.4692 -6.3432 4.7361
H -0.2034 -3.2222 1.3380
H -0.6156 -3.7092 4.6667
Li 0.0000 0.0000 0.0000
Li -3.1614 -4.4886 2.4028
```

Summary:
Crystal system: tetragonal
Total DFT energy (no corrections), eV/f.u.: -21.31
ΔE to the lowest computed polymorph, meV per atom: 0.0


No. 11
Li2H5Ru after structural relaxation, computed with GGA-PBE.

The structure in extended XYZ format:
```
8
Lattice="2.7871 -0.0021 -1.1947 -2.2500 4.5080 -1.3820 0.4431 -0.7729 4.8952" Properties=species:S:1:pos:R:3 pbc="T T T"
Li 0.2714 3.2544 -0.0953
Li 1.3931 1.0032 2.5126
H -1.4683 3.4867 -0.3061
H 2.0816 0.7740 0.2580
H 0.9629 2.5745 1.5389
H 0.3746 0.8025 3.9866
H -0.4304 3.6542 2.1322
Ru 0.3332 0.2153 0.0308
```

Summary:
Crystal system: triclinic
Total DFT energy (no corrections), eV/f.u.: -31.71
ΔE to the lowest computed polymorph, meV per atom: 0.0


No. 12
LiHRu after structural relaxation, computed with GGA-PBE.

The structure in extended XYZ format:
```
6
Lattice="4.9801 3.0531 0.6107 3.0289 4.9948 0.6107 -4.1354 -4.1555 3.3555" Properties=species:S:1:pos:R:3 pbc="T T T"
Ru 4.3047 4.3257 3.5347
Ru -0.4311 -0.4332 1.0423
H -2.5374 -2.5497 2.6887
H 6.4110 6.4422 1.8882
Li 2.3663 2.3778 3.3473
Li 1.5073 1.5146 1.2297
```

Summary:
Crystal system: monoclinic
Total DFT energy (no corrections), eV/f.u.: -14.49


No. 13
Li2H6Ru after structural relaxation, computed with GGA-PBE.

The structure in extended XYZ format:
```
9
Lattice="2.8745 0.0001 -0.9286 -0.6927 4.1113 -2.1440 0.1029 0.0695 5.2258" Properties=species:S:1:pos:R:3 pbc="T T T"
Li 0.7847 1.3913 2.4144
Li 1.5000 2.7896 -0.2612
H 2.4702 0.4310 2.7234
H 0.1787 1.5882 0.5571
H -0.1855 3.7499 -0.5701
H 1.2996 0.8168 -0.8902
H 2.1060 2.5926 1.5961
H 0.8822 3.2945 -2.1824
Ru 0.0000 0.0000 0.0000
```

Summary:
Crystal system: orthorhombic
Total DFT energy (no corrections), eV/f.u.: -35.21
ΔE to the lowest computed polymorph, meV per atom: 0.0


No. 14
LiH2Ru after structural relaxation, computed with GGA-PBE.

The structure in extended XYZ format:
```
4
Lattice="0.0000 2.4234 2.4234 2.4234 0.0000 2.4234 2.4234 2.4234 0.0000" Properties=species:S:1:pos:R:3 pbc="T T T"
Ru 2.4234 2.4234 2.4234
H 1.2117 1.2117 1.2117
H 3.6351 3.6351 3.6351
Li 0.0000 0.0000 0.0000
```

Summary:
Crystal system: cubic
Total DFT energy (no corrections), eV/f.u.: -16.88
ΔE to the lowest computed polymorph, meV per atom: 320.8


No. 15
Li2H5Ru after structural relaxation, computed with GGA-PBE.

The structure in extended XYZ format:
```
16
Lattice="2.9882 0.0000 0.0000 -1.4941 5.0103 0.0000 0.0000 0.0000 9.0149" Properties=species:S:1:pos:R:3 pbc="T T T"
Li 1.4941 3.6637 3.9048
Li 1.4941 3.6637 0.6026
Li 0.0000 1.3467 5.1101
Li 0.0000 1.3467 8.4123
H 1.4941 4.6066 7.9415
H 1.4941 4.6066 5.5809
H 0.0000 2.6650 3.5900
H 0.0000 2.6650 0.9174
H 1.4941 2.5034 2.2537
H 0.0000 2.5069 6.7612
H 1.4941 2.3453 5.4249
H 1.4941 2.3453 8.0975
H 0.0000 0.4037 1.0735
H 0.0000 0.4037 3.4340
Ru 1.4941 3.3948 6.7612
Ru 0.0000 1.6156 2.2537
```

Summary:
Crystal system: orthorhombic
Total DFT energy (no corrections), eV/f.u.: -30.87
ΔE to the lowest computed polymorph, meV per atom: 105.8


No. 16
Li3H8Ru after structural relaxation, computed with GGA-PBE.

The structure in extended XYZ format:
```
12
Lattice="4.3734 0.0000 0.0000 0.0000 4.3734 0.0000 -2.1867 -2.1867 4.3815" Properties=species:S:1:pos:R:3 pbc="T T T"
Li 2.1867 0.0000 2.1907
Li 2.1867 2.1867 0.0000
Li 0.0000 2.1867 2.1907
H 0.9919 0.9919 0.9631
H 0.9919 3.3815 0.9631
H -1.1948 1.1948 3.4183
H -1.1948 -1.1948 3.4183
H 3.3815 3.3815 0.9631
H 3.3815 0.9919 0.9631
H 1.1948 -1.1948 3.4183
H 1.1948 1.1948 3.4183
Ru 0.0000 0.0000 0.0000
```

Summary:
Crystal system: tetragonal
Total DFT energy (no corrections), eV/f.u.: -43.99


No. 17
Li2H6Ru after structural relaxation, computed with GGA-PBE.

The structure in extended XYZ format:
```
9
Lattice="3.9553 0.0000 2.2836 1.3184 3.7291 2.2836 0.0000 0.0000 4.5672" Properties=species:S:1:pos:R:3 pbc="T T T"
Ru 0.0000 0.0000 0.0000
H 2.0156 2.7431 3.4912
H 3.2581 0.9860 3.4912
H 2.0156 2.7431 5.6432
H 3.2581 0.9860 5.6432
H 3.8793 2.7431 4.5672
H 1.3944 0.9860 4.5672
Li 3.9553 2.7968 6.8508
Li 1.3184 0.9323 2.2836
```

Summary:
Crystal system: cubic
Total DFT energy (no corrections), eV/f.u.: -32.35
ΔE to the lowest computed polymorph, meV per atom: 318.1


No. 18
Li2H6Ru after structural relaxation, computed with GGA-PBE.

The structure in extended XYZ format:
```
18
Lattice="3.9159 0.0000 0.0000 0.0000 3.9159 0.0000 0.0000 0.0000 9.1771" Properties=species:S:1:pos:R:3 pbc="T T T"
Li 0.0000 0.0000 3.1037
Li 1.9579 1.9579 7.6923
Li 1.9579 1.9579 1.4849
Li 0.0000 0.0000 6.0735
H 1.3112 1.3112 3.1601
H 2.6047 2.6047 3.1601
H 0.6468 3.2691 7.7486
H 3.2691 0.6468 7.7486
H 0.6468 3.2691 1.4285
H 3.2691 0.6468 1.4285
H 1.3112 1.3112 6.0171
H 2.6047 2.6047 6.0171
H 1.1946 1.1946 0.0000
H 2.7213 2.7213 0.0000
H 0.7634 3.1525 4.5886
H 3.1525 0.7634 4.5886
Ru 0.0000 0.0000 0.0000
Ru 1.9579 1.9579 4.5886
```

Summary:
Crystal system: tetragonal
Total DFT energy (no corrections), eV/f.u.: -32.41
ΔE to the lowest computed polymorph, meV per atom: 311.6


No. 19
Li2H3Ru after structural relaxation, computed with GGA-PBE.

The structure in extended XYZ format:
```
12
Lattice="-2.7758 2.5909 0.0511 -3.5792 -3.8811 2.3628 3.5439 0.9506 3.2103" Properties=species:S:1:pos:R:3 pbc="T T T"
Li -2.7754 -0.2389 2.4544
Li -0.9858 1.7016 1.2730
Li -1.8253 -2.0413 4.3512
Li -0.0357 -0.1008 3.1698
H -2.2827 0.3252 0.6162
H -4.0723 -1.6154 1.7976
H 0.3187 0.3215 1.0100
H -1.3402 1.2793 3.4328
H -1.4709 -1.6190 2.1914
H -3.1298 -0.6612 4.6142
Ru -5.4602 -0.3199 1.8232
Ru -0.8948 -0.9703 0.5907
```

Summary:
Crystal system: monoclinic
Total DFT energy (no corrections), eV/f.u.: -24.86


No. 20
LiH2Ru after structural relaxation, computed with GGA-PBE.

The structure in extended XYZ format:
```
8
Lattice="4.7379 0.0000 0.0000 0.0000 4.7379 0.0000 2.3690 2.3690 2.9942" Properties=species:S:1:pos:R:3 pbc="T T T"
Ru 0.0000 0.0000 0.0000
Ru 4.7379 2.3690 1.4971
H 3.6658 1.1845 0.7486
H 1.0722 3.5535 0.7486
H 3.5535 3.4411 2.2457
H 5.9224 6.0348 2.2457
Li 2.3690 2.3690 0.0000
Li 2.3690 4.7379 1.4971
```

Summary:
Crystal system: tetragonal
Total DFT energy (no corrections), eV/f.u.: -17.90
ΔE to the lowest computed polymorph, meV per atom: 66.6


No. 21
Li2HRu2 after structural relaxation, computed with GGA-PBE.

The structure in extended XYZ format:
```
10
Lattice="5.1152 0.0000 0.0000 0.0000 5.1152 0.0000 0.0000 0.0000 4.6348" Properties=species:S:1:pos:R:3 pbc="T T T"
Ru 1.6745 4.2321 0.0000
Ru 4.2321 3.4407 0.0000
Ru 3.4407 0.8831 0.0000
Ru 0.8831 1.6745 0.0000
H 0.0000 0.0000 0.0000
H 2.5576 2.5576 0.0000
Li 0.8508 3.4084 2.3174
Li 3.4084 4.2643 2.3174
Li 4.2643 1.7068 2.3174
Li 1.7068 0.8508 2.3174
```

Summary:
Crystal system: tetragonal
Total DFT energy (no corrections), eV/f.u.: -24.83
ΔE to the lowest computed polymorph, meV per atom: 0.0


No. 22
Li3H4Ru after structural relaxation, computed with GGA-PBE.

The structure in extended XYZ format:
```
8
Lattice="5.0568 -0.1012 -1.3778 -2.5784 4.3513 1.3778 -3.3526 -0.8926 3.9298" Properties=species:S:1:pos:R:3 pbc="T T T"
Li -0.3365 0.1962 2.9265
Li 0.2447 -0.1427 0.3665
Li -0.0471 2.8751 1.7379
H -3.8849 2.2655 4.0633
H -1.5556 0.9071 1.9788
H 1.0657 1.2638 0.3673
H 1.9033 2.7002 0.3673
Ru -2.7203 1.5863 3.0210
```

Summary:
Crystal system: orthorhombic
Total DFT energy (no corrections), eV/f.u.: -30.18
ΔE to the lowest computed polymorph, meV per atom: 103.5


No. 23
LiH2Ru after structural relaxation, computed with GGA-PBE.

The structure in extended XYZ format:
```
4
Lattice="-2.5305 -0.5475 1.3675 -1.1475 -2.6930 -0.0670 1.1864 -2.2079 4.4462" Properties=species:S:1:pos:R:3 pbc="T T T"
Ru -1.2458 -2.7242 2.8734
H 0.3178 -1.8019 3.0014
H -2.8095 -3.6465 2.7454
Li 0.0000 0.0000 0.0000
```

Summary:
Crystal system: trigonal
Total DFT energy (no corrections), eV/f.u.: -18.16
ΔE to the lowest computed polymorph, meV per atom: 0.0